No. 1
# TlB2PdF8 (PBE-GGA, optimized geometry)
data_TlB2PdF8
_cell_length_a 5.2207
_cell_length_b 5.2207
_cell_length_c 23.4023
_cell_angle_alpha 90.00
_cell_angle_beta 90.00
_cell_angle_gamma 120.00
_space_group_name_H-M_alt 'R -3'
_space_group_IT_number 148
_space_group_name_Hall '-R 3'
loop_
_atom_site_label
_atom_site_type_symbol
_atom_site_fract_x
_atom_site_fract_y
_atom_site_fract_z
Tl1 Tl 0.0000 0.0000 0.0000
B1 B 0.0000 0.0000 0.2481
Pd1 Pd 0.0000 0.0000 0.5000
F1 F 0.0000 0.0000 0.3089
F2 F 0.0168 0.2653 0.7714
# Energy   -191.19 eV for the cell shown
# Formation energy (no corrections)   -2320 meV/atom

---

No. 2
# YHg2Pb2 (PBE-GGA, optimized geometry)
data_YHg2Pb2
_cell_length_a 8.371
_cell_length_b 8.371
_cell_length_c 3.983
_cell_angle_alpha 90.00
_cell_angle_beta 90.00
_cell_angle_gamma 90.00
_space_group_name_H-M_alt 'P 4/m b m'
_space_group_IT_number 127
_space_group_name_Hall '-P 4 2ab'
loop_
_atom_site_label
_atom_site_type_symbol
_atom_site_fract_x
_atom_site_fract_y
_atom_site_fract_z
Y1 Y 0.000 0.000 0.000
Hg1 Hg 0.125 0.375 0.000
Pb1 Pb 0.177 0.677 0.500
# Energy   -30.32 eV for the cell shown

---

no.,magnetization (μB/atom)
1,0.083
2,0.000